{"formula": "TbPr8Dy6", "functional": "PBE-GGA", "state": "optimized geometry", "crystal_system": "trigonal", "rho_g_cm3": 7.3, "e_form_ev_per_atom": 0.164, "de_polymorph_ev_per_atom": 0.0000, "spacegroup": "R-3", "lattice_angstrom": [[-2.988, 6.366, -6.990], [-0.186, -2.805, -9.508], [-6.729, -0.732, -4.823]], "species": ["Pr", "Pr", "Pr", "Pr", "Pr", "Pr", "Pr", "Pr", "Dy", "Dy", "Dy", "Dy", "Dy", "Dy", "Tb"], "fractional_positions": [[0.774, 0.068, 0.514], [0.413, 0.413, 0.760], [0.587, 0.587, 0.240], [0.355, 0.226, 0.486], [0.645, 0.774, 0.514], [0.932, 0.355, 0.486], [0.068, 0.645, 0.514], [0.226, 0.932, 0.486], [0.075, 0.285, 0.030], [0.925, 0.715, 0.970], [0.390, 0.925, 0.970], [0.610, 0.075, 0.030], [0.285, 0.610, 0.030], [0.715, 0.390, 0.970], [0.000, 0.000, 0.000]]}